Entry 1:
Entry from Alexandria: an optimized crystal structure of YCd2Ag (PBE).

Lattice parameters (Å, degrees): 3.451 3.451 7.603 90.00 90.00 90.00
Space group P4/mmm (No. 123)
Asymmetric unit:
Y (0.000, 0.000, 0.000) [1 per cell]
Cd (0.500, 0.500, 0.282) [2 per cell]
Ag (0.000, 0.000, 0.500) [1 per cell]

Calculated density, g/cm³: 7.73
Electronic total energy, eV per atom: -2.988
M_tot, μB per atom: 0.06
Crystal system: tetragonal

---

Entry 2:
Entry from Alexandria: an optimized crystal structure of PrHo2Ir (PBE).

Lattice parameters (Å, degrees): 3.8077 3.8077 31.5645 90.00 90.00 120.00
Space group R-3m (No. 166, hexagonal axes)
Asymmetric unit:
Pr (0.0000, 0.0000, 0.0000) [3 per cell]
Ho (0.0000, 0.0000, 0.1159) [6 per cell]
Ir (0.0000, 0.0000, 0.5000) [3 per cell]

Calculated density, g/cm³: 8.33
Electronic total energy, eV per atom: -5.904
M_tot, μB per atom: 0.00
Crystal system: trigonal

---

Entry 3:
Entry from Alexandria: an optimized crystal structure of YZrOs (PBE).

Lattice parameters (Å, degrees): 4.533 4.533 6.806 90.00 90.00 90.00
Space group P4/nmm (No. 129, origin choice 2)
Asymmetric unit:
Y (0.250, 0.250, 0.133) [2 per cell]
Zr (0.250, 0.750, 0.500) [2 per cell]
Os (0.250, 0.250, 0.718) [2 per cell]

Calculated density, g/cm³: 8.80
Electronic total energy, eV per atom: -8.999
M_tot, μB per atom: 0.00
Crystal system: tetragonal

---

Entry 4:
Entry from Alexandria: an optimized crystal structure of Ba2As2N (PBE).

Lattice parameters (Å, degrees): 6.522 6.522 7.341 90.00 90.00 90.00
Space group I4/mmm (No. 139)
Asymmetric unit:
Ba (0.000, 0.500, 0.250) [4 per cell]
As (0.000, 0.000, 0.243) [4 per cell]
N (0.000, 0.000, 0.500) [2 per cell]

Calculated density, g/cm³: 4.66
Electronic total energy, eV per atom: -4.348
M_tot, μB per atom: 0.00
Energy relative to the elements, uncorrected, eV per atom: -0.05
Crystal system: tetragonal